The following is a DFT calculation (PBE) of crystalline YRuW2 at its relaxed geometry.

a = 3.1926 Å, b = 4.5552 Å, c = 9.7891 Å
α = 90.00°, β = 90.00°, γ = 90.00°
Atoms (fractional coordinates):
Y (0.0000, 0.0000, 0.0000)
Y (0.5000, 0.5000, 0.5000)
Ru (0.0000, 0.0000, 0.5000)
Ru (0.5000, 0.5000, 0.0000)
W (0.0000, 0.5000, 0.2374)
W (0.0000, 0.5000, 0.7626)
W (0.5000, 0.0000, 0.2626)
W (0.5000, 0.0000, 0.7374)

Total magnetic moment in μB per cell: 0.000
D(E_F) in states/eV/atom: 0.6309
V in Å³ per atom: 17.80
ΔH_f (0 K) in kJ/mol of atoms: 21.69
Energy relative to the lowest polymorph listed for this composition in meV per atom: 52.2